(1)
The following is a DFT calculation (GGA-PBE) of an optimized crystal structure of KSeS2N.

## Properties
M_tot: 0.153 μB per atom
Formation energy (no corrections): 2220 meV/atom
Excess energy over the best structure of this formula in the dataset: 1640 meV per atom

a = 5.486 Å, b = 5.486 Å, c = 4.278 Å
α = 90.00°, β = 90.00°, γ = 90.00°
Space group P4/mmm (No. 123)
One atom of each set of equivalent atoms:
K: 0.000 0.000 0.000 x1
Se: 0.500 0.500 0.500 x1
S: 0.000 0.500 0.000 x2
N: 0.000 0.000 0.500 x1

(2)
The following is a DFT calculation (GGA-PBE) of an optimized crystal structure of KSiSN2.

## Properties
M_tot: 1.000 μB per atom
Formation energy (no corrections): 2414 meV/atom
Excess energy over the best structure of this formula in the dataset: 1892 meV per atom

a = 4.720 Å, b = 4.720 Å, c = 5.937 Å
α = 90.00°, β = 90.00°, γ = 90.00°
Space group P4/mmm (No. 123)
One atom of each set of equivalent atoms:
K: 0.000 0.000 0.000 x1
Si: 0.500 0.500 0.500 x1
S: 0.000 0.000 0.500 x1
N: 0.000 0.500 0.000 x2